1.
A geometry-optimized Cd2CuTc structure. Source: Alexandria, functional PBEsol.

a b c (Å): 2.788 4.783 9.634
angles (deg): 90.00 90.00 90.00
Positions (direct):
Cd 0.000 0.000 0.000
Cd 0.000 0.500 0.229
Cd 0.500 0.000 0.729
Cd 0.500 0.500 0.500
Cu 0.000 0.500 0.741
Cu 0.500 0.000 0.241
Tc 0.000 0.000 0.464
Tc 0.500 0.500 0.964

Output
**ΔE_f**: 147.1 kJ/mol of formula units
**Space-group type**: Imm2, No. 44
**Magnetization**: 0.0 μB per formula unit
**Energy relative to the lowest polymorph listed for this composition**: 0.0 meV/atom
**Energy**: -32.94 eV per cell



2.
A geometry-optimized Cd2CuTc structure. Source: Alexandria, functional PBEsol.

a b c (Å): 2.756 3.955 5.836
angles (deg): 90.00 90.00 90.00
Positions (direct):
Cd 0.000 0.000 0.243
Cd 0.000 0.000 0.757
Cu 0.500 0.500 0.000
Tc 0.500 0.500 0.500

Output
**ΔE_f**: 152.4 kJ/mol of formula units
**Space-group type**: Pmmm, No. 47
**Magnetization**: 0.0 μB per formula unit
**Energy relative to the lowest polymorph listed for this composition**: 13.7 meV/atom
**Energy**: -16.41 eV per cell



3.
A geometry-optimized CdCu2Te structure. Source: Alexandria, functional PBEsol.

a b c (Å): 3.479 3.479 5.743
angles (deg): 90.00 90.00 90.00
Positions (direct):
Cd 0.000 0.000 0.000
Cu 0.500 0.500 0.234
Cu 0.500 0.500 0.766
Te 0.000 0.000 0.500

Output
**Space-group type**: P4/mmm, No. 123
**Magnetization**: 0.0 μB per formula unit
**Formation energy (no corrections)**: 227.3 meV per atom
**Energy relative to the lowest polymorph listed for this composition**: 13.5 meV/atom
**Energy**: -12.48 eV per cell



4.
A geometry-optimized CdCuTe structure. Source: Alexandria, functional PBEsol.

a b c (Å): 2.868 3.675 12.025
angles (deg): 90.00 90.00 90.00
Positions (direct):
Cd 0.000 0.000 0.000
Cd 0.500 0.500 0.500
Cu 0.000 0.000 0.630
Cu 0.500 0.500 0.130
Te 0.000 0.000 0.272
Te 0.500 0.500 0.772

Output
**Space-group type**: Imm2, No. 44
**Magnetization**: 0.0 μB per formula unit
**Formation energy (no corrections)**: 220.5 meV per atom
**Energy relative to the lowest polymorph listed for this composition**: 0.0 meV/atom
**Energy**: -16.79 eV per cell



5.
A geometry-optimized Cd3CuTe structure. Source: Alexandria, functional PBEsol.

a b c (Å): 4.953 4.953 4.953
angles (deg): 90.00 90.00 90.00
Positions (direct):
Cd 0.000 0.000 0.500
Cd 0.000 0.500 0.000
Cd 0.500 0.000 0.000
Cu 0.000 0.000 0.000
Te 0.500 0.500 0.500

Output
**Space-group type**: Pm-3m, No. 221
**Magnetization**: 0.0 μB per formula unit
**Formation energy (no corrections)**: 245.7 meV per atom
**Energy**: -10.22 eV per cell



6.
A geometry-optimized CdCu2Te structure. Source: Alexandria, functional PBEsol.

a b c (Å): 8.046 3.187 5.829
angles (deg): 90.00 102.99 90.00
Positions (direct):
Cd 0.000 0.000 0.000
Cd 0.500 0.500 0.000
Cu 0.250 0.000 0.787
Cu 0.250 0.500 0.213
Cu 0.750 0.000 0.213
Cu 0.750 0.500 0.787
Te 0.000 0.500 0.500
Te 0.500 0.000 0.500

Output
**Space-group type**: C2/m, No. 12
**Magnetization**: 0.0 μB per formula unit
**Formation energy (no corrections)**: 213.8 meV per atom
**Energy relative to the lowest polymorph listed for this composition**: 0.0 meV/atom
**Energy**: -25.07 eV per cell